Record 1
# TbPm3Ho, optimized geometry, DFT PBE
# Total DFT energy (no corrections)   -4.668 eV per atom
# Size of the total moment   0.000 μB per formula unit
# Energy of formation   0.12 eV/f.u.
# Excess energy over the best structure of this formula in the dataset   0 meV/atom
data_TbPm3Ho
_chemical_formula_sum 'Tb4 Pm12 Ho4'
_symmetry_space_group_name_H-M 'P -1'
_symmetry_Int_Tables_number 2
_cell_length_a 8.5904
_cell_length_b 9.3288
_cell_length_c 9.3306
_cell_angle_alpha 94.54
_cell_angle_beta 114.79
_cell_angle_gamma 94.68
loop_
_symmetry_equiv_pos_as_xyz
'x,y,z'
'-x,-y,-z'
loop_
_atom_site_label
_atom_site_type_symbol
_atom_site_fract_x
_atom_site_fract_y
_atom_site_fract_z
Tb1 Tb 0.0014 0.1677 0.4161
Tb2 Tb 0.3984 0.7323 0.8824
Pm1 Pm 0.1991 0.3680 0.8171
Pm2 Pm 0.1996 0.8680 0.3166
Pm3 Pm 0.2007 0.0341 0.9841
Pm4 Pm 0.2014 0.5344 0.4836
Pm5 Pm 0.3982 0.5649 0.2166
Pm6 Pm 0.3988 0.0647 0.7158
Ho1 Ho 0.9996 0.3330 0.0838
Ho2 Ho 0.3980 0.2331 0.3820

***

Record 2
# La6CoTc2Br3, optimized geometry, DFT PBE
# Total DFT energy (no corrections)   -5.899 eV per atom
# Size of the total moment   0.000 μB per formula unit
# Raw formation energy   -8.4 eV per formula unit
data_La6CoTc2Br3
_chemical_formula_sum 'La12 Co2 Tc4 Br6'
_symmetry_space_group_name_H-M 'C 1 2/m 1'
_symmetry_Int_Tables_number 12
_cell_length_a 7.2717
_cell_length_b 11.9978
_cell_length_c 8.3770
_cell_angle_alpha 90.00
_cell_angle_beta 106.83
_cell_angle_gamma 90.00
loop_
_symmetry_equiv_pos_as_xyz
'x,y,z'
'-x,-y,-z'
'-x,y,-z'
'x,-y,z'
'x+1/2,y+1/2,z'
'-x+1/2,-y+1/2,-z'
'-x+1/2,y+1/2,-z'
'x+1/2,-y+1/2,z'
loop_
_atom_site_label
_atom_site_type_symbol
_atom_site_fract_x
_atom_site_fract_y
_atom_site_fract_z
La1 La 0.2368 0.1618 0.1827
La2 La 0.2477 0.0000 0.7745
Co1 Co 0.0000 0.0000 0.0000
Tc1 Tc 0.0000 0.3747 0.0000
Br1 Br 0.0000 0.1801 0.5000
Br2 Br 0.0000 0.5000 0.5000

***

Record 3
# Cs14CdO, optimized geometry, DFT PBE
# Total DFT energy (no corrections)   -1.257 eV per atom
# Size of the total moment   0.000 μB per formula unit
# Raw formation energy   -2.3 eV per formula unit
data_Cs14CdO
_chemical_formula_sum 'Cs28 Cd2 O2'
_symmetry_space_group_name_H-M 'A m m 2'
_symmetry_Int_Tables_number 38
_cell_length_a 13.5595
_cell_length_b 11.9207
_cell_length_c 18.5065
_cell_angle_alpha 90.00
_cell_angle_beta 90.00
_cell_angle_gamma 90.00
loop_
_symmetry_equiv_pos_as_xyz
'x,y,z'
'-x,-y,z'
'-x,y,z'
'x,-y,z'
'x,y+1/2,z+1/2'
'-x,-y+1/2,z+1/2'
'-x,y+1/2,z+1/2'
'x,-y+1/2,z+1/2'
loop_
_atom_site_label
_atom_site_type_symbol
_atom_site_fract_x
_atom_site_fract_y
_atom_site_fract_z
Cs1 Cs 0.0000 0.0000 0.0000
Cs2 Cs 0.0000 0.0000 0.4418
Cs3 Cs 0.0000 0.2128 0.7210
Cs4 Cs 0.2945 0.0000 0.1848
Cs5 Cs 0.3031 0.0000 0.8541
Cs6 Cs 0.3515 0.1621 0.5675
Cs7 Cs 0.5000 0.1624 0.3843
Cd1 Cd 0.5000 0.0000 0.0206
O1 O 0.5000 0.0000 0.5043